# NbReP2 (PBE-GGA, optimized geometry)
data_NbReP2
_space_group_name_H-M_alt 'P 1'
_space_group_IT_number 1
_cell_length_a 4.289
_cell_length_b 4.289
_cell_length_c 4.289
_cell_angle_alpha 60.00
_cell_angle_beta 60.00
_cell_angle_gamma 60.00
loop_
_space_group_symop_operation_xyz
'x,y,z'
loop_
_atom_site_label
_atom_site_fract_x
_atom_site_fract_y
_atom_site_fract_z
Nb1 0.000 0.000 0.000
Re1 0.500 0.500 0.500
P1 0.250 0.250 0.250
P2 0.750 0.750 0.750
# Formation enthalpy at 0 K: -1.25 eV/f.u.
# Energy above the lowest structure with this stoichiometry: 0.000 eV per atom
# DOS(E_F): 2.56 states/eV/cell
# Energy: -8.6457 eV per atom
# M_tot: 0.00 μB per cell
# SG: Fm-3m (225)